A relaxed BeTl6Se4 crystal, computed with PBE.

ΔE_f (raw), eV per atom: -0.391

Cell and atoms, written as extended XYZ:
```
22
Lattice="10.099 0.000 0.000 -5.050 8.746 0.000 0.000 0.000 7.776" Properties=species:S:1:pos:R:3 pbc="T T T"
Be 0.000 5.831 0.000
Be 5.050 2.915 3.888
Tl -2.029 4.660 3.054
Tl 0.000 2.587 5.505
Tl -2.809 7.453 5.505
Tl 2.241 1.294 1.618
Tl 2.029 4.660 3.054
Tl 0.000 8.173 3.054
Tl 5.050 0.573 6.942
Tl 3.021 4.087 6.942
Tl 2.809 7.453 5.505
Tl 7.859 1.294 1.618
Tl 5.050 6.159 1.618
Tl 7.078 4.087 6.942
Se 0.000 3.640 0.660
Se -1.898 6.926 0.660
Se 0.000 5.831 5.412
Se 3.152 1.820 4.548
Se 1.898 6.926 0.660
Se 5.050 2.915 1.524
Se 6.947 1.820 4.548
Se 5.050 5.107 4.548
```

---

A relaxed CeGa4Ni15 crystal, computed with PBE.

E_form, meV per atom: -276.8

Cell and atoms, written as extended XYZ:
```
20
Lattice="3.678 0.000 0.000 0.000 3.678 0.000 0.000 0.000 17.842" Properties=species:S:1:pos:R:3 pbc="T T T"
Ce 0.000 0.000 0.000
Ga 0.000 0.000 3.755
Ga 0.000 0.000 7.193
Ga 0.000 0.000 10.649
Ga 0.000 0.000 14.087
Ni 0.000 1.839 2.005
Ni 0.000 1.839 5.464
Ni 0.000 1.839 8.921
Ni 0.000 1.839 12.378
Ni 0.000 1.839 15.837
Ni 1.839 0.000 2.005
Ni 1.839 0.000 5.464
Ni 1.839 0.000 8.921
Ni 1.839 0.000 12.378
Ni 1.839 0.000 15.837
Ni 1.839 1.839 0.000
Ni 1.839 1.839 3.733
Ni 1.839 1.839 7.201
Ni 1.839 1.839 10.641
Ni 1.839 1.839 14.109
```

---

A relaxed Sm2GaBi4 crystal, computed with PBE.

E_form, meV per atom: -324.1

Cell and atoms, written as extended XYZ:
```
7
Lattice="8.022 -2.294 0.000 8.022 2.294 0.000 -1.950 0.000 6.056" Properties=species:S:1:pos:R:3 pbc="T T T"
Sm 2.904 0.000 1.489
Sm 11.190 0.000 4.566
Ga 0.000 0.000 0.000
Bi 0.868 0.000 4.365
Bi 5.561 0.000 4.102
Bi 8.532 0.000 1.953
Bi 13.225 0.000 1.690
```

---

A relaxed ScReIr2 crystal, computed with PBE.

Excess energy over the best structure of this formula in the dataset, meV/atom: 374.8
E_form, meV per atom: -80.8

Cell and atoms, written as extended XYZ:
```
4
Lattice="3.279 0.000 0.000 0.000 3.279 0.000 0.000 0.000 6.054" Properties=species:S:1:pos:R:3 pbc="T T T"
Sc 0.000 0.000 0.000
Re 1.639 1.639 4.231
Ir 0.000 0.000 3.089
Ir 1.639 1.639 1.436
```